Compound: HoTcP2Ru
Source: the Alexandria database
Functional: PBE
Structure: optimized geometry

Output
energy relative to the elements	-0.99	eV/atom

a = 5.5427 Å, b = 5.5427 Å, c = 5.5427 Å
α = 136.41°, β = 136.41°, γ = 63.34°
Fractional coordinates of all 5 atoms:
Ho1 0.0000 0.0000 0.0000
Tc1 0.2500 0.7500 0.5000
P1 0.3714 0.3714 0.0000
P2 0.6286 0.6286 0.0000
Ru1 0.7500 0.2500 0.5000